Record 1
This record from Alexandria via LeMat-Bulk describes Zr6AlHg2 after structural relaxation. The functional is PBE.

```
Zr6AlHg2
1.0
-2.347 3.337 7.123
2.347 -3.337 7.123
2.347 3.337 -7.123
Zr Al Hg
6 1 2
Cartesian
2.347 1.625 -2.293 Zr
0.000 1.617 0.000 Zr
2.347 1.625 2.293 Zr
0.000 1.712 4.830 Zr
0.000 5.056 0.000 Zr
0.000 1.712 9.416 Zr
2.347 0.000 0.000 Al
2.347 0.000 4.719 Hg
0.000 3.337 2.404 Hg
```

Calculated values
* total moment: 0.00 μB per cell
* density of states at the Fermi level: 11.8 states/eV/cell
* energy of formation from the pure elements: 0.23 eV/atom

Record 2
This record from Alexandria via LeMat-Bulk describes Zr2Al2Hg after structural relaxation. The functional is PBE.

```
Zr2Al2Hg
1.0
6.886 0.000 0.000
0.000 6.886 0.000
0.000 0.000 4.174
Zr Al Hg
4 4 2
Cartesian
1.161 2.282 0.000 Zr
2.282 5.725 0.000 Zr
4.604 1.161 0.000 Zr
5.725 4.604 0.000 Zr
0.892 4.335 2.087 Al
2.552 0.892 2.087 Al
4.335 5.995 2.087 Al
5.995 2.552 2.087 Al
0.000 0.000 2.087 Hg
3.443 3.443 2.087 Hg
```

Calculated values
* total moment: 0.00 μB per cell
* density of states at the Fermi level: 5.8 states/eV/cell
* energy above the lowest structure with this stoichiometry: 0 meV/atom
* energy of formation from the pure elements: -0.35 eV/atom

Record 3
This record from Alexandria via LeMat-Bulk describes Zr4Al2Hg5 after structural relaxation. The functional is PBE.

```
Zr4Al2Hg5
1.0
7.530 0.000 0.000
0.000 3.192 0.000
-0.731 0.000 9.619
Zr Al Hg
4 2 5
Cartesian
0.938 0.000 3.642 Zr
1.305 0.000 9.071 Zr
5.494 0.000 0.547 Zr
5.861 0.000 5.976 Zr
0.358 1.596 1.265 Al
6.441 1.596 8.353 Al
0.891 1.596 6.359 Hg
3.141 1.596 1.857 Hg
3.400 1.596 4.809 Hg
3.658 1.596 7.762 Hg
5.908 1.596 3.260 Hg
```

Calculated values
* total moment: 0.00 μB per cell
* density of states at the Fermi level: 9.1 states/eV/cell
* energy of formation from the pure elements: -0.20 eV/atom

Record 4
This record from Alexandria via LeMat-Bulk describes Zr4AlHg3 after structural relaxation. The functional is PBE.

```
Zr4AlHg3
1.0
4.304 0.000 0.000
0.000 4.418 0.000
0.000 0.000 8.842
Zr Al Hg
4 1 3
Cartesian
0.000 0.000 0.000 Zr
0.000 0.000 4.421 Zr
0.000 2.209 2.168 Zr
0.000 2.209 6.674 Zr
2.152 2.209 0.000 Al
2.152 0.000 2.138 Hg
2.152 0.000 6.704 Hg
2.152 2.209 4.421 Hg
```

Calculated values
* total moment: 0.00 μB per cell
* density of states at the Fermi level: 8.5 states/eV/cell
* energy of formation from the pure elements: -0.23 eV/atom

Record 5
This record from Alexandria via LeMat-Bulk describes Zr2AlHg after structural relaxation. The functional is PBE.

```
Zr2AlHg
1.0
5.326 0.000 0.000
0.000 3.126 0.000
-1.721 0.000 5.088
Zr Al Hg
2 1 1
Cartesian
0.000 0.000 0.000 Zr
-0.860 1.563 2.544 Zr
1.803 0.000 2.544 Al
2.663 1.563 0.000 Hg
```

Calculated values
* total moment: 0.00 μB per cell
* density of states at the Fermi level: 2.6 states/eV/cell
* energy of formation from the pure elements: -0.11 eV/atom

Record 6
This record from Alexandria via LeMat-Bulk describes Zr5AlHg after structural relaxation. The functional is PBE.

```
Zr5AlHg
1.0
4.489 -6.022 0.000
4.489 6.022 0.000
-1.465 0.000 5.896
Zr Al Hg
10 2 2
Cartesian
0.894 1.609 5.112 Zr
2.252 1.689 2.255 Zr
3.390 3.376 4.422 Zr
1.626 -1.609 2.164 Zr
1.519 -1.689 5.203 Zr
5.993 1.689 0.693 Zr
5.887 1.609 3.731 Zr
4.122 -3.376 1.474 Zr
5.261 -1.689 3.641 Zr
6.619 -1.609 0.784 Zr
3.390 0.285 4.422 Al
4.122 -0.285 1.474 Al
0.000 0.000 0.000 Hg
-0.732 0.000 2.948 Hg
```

Calculated values
* total moment: 0.00 μB per cell
* density of states at the Fermi level: 13.9 states/eV/cell
* energy of formation from the pure elements: 0.03 eV/atom

Record 7
This record from Alexandria via LeMat-Bulk describes Zr2AlHg2 after structural relaxation. The functional is PBE.

```
Zr2AlHg2
1.0
3.096 0.000 0.000
0.000 22.467 0.000
0.000 0.000 3.048
Zr Al Hg
4 2 4
Cartesian
0.000 1.999 0.000 Zr
0.000 20.468 0.000 Zr
1.548 9.234 0.000 Zr
1.548 13.233 0.000 Zr
0.000 11.234 1.524 Al
1.548 0.000 1.524 Al
0.000 6.929 1.524 Hg
0.000 15.538 1.524 Hg
1.548 4.305 1.524 Hg
1.548 18.162 1.524 Hg
```

Calculated values
* total moment: 0.00 μB per cell
* density of states at the Fermi level: 8.3 states/eV/cell
* energy above the lowest structure with this stoichiometry: 0 meV/atom
* energy of formation from the pure elements: -0.23 eV/atom

Record 8
This record from Alexandria via LeMat-Bulk describes Zr2AlHg after structural relaxation. The functional is PBE.

```
Zr2AlHg
1.0
6.977 0.000 0.000
0.000 6.977 0.000
0.000 0.000 6.977
Zr Al Hg
8 4 4
Cartesian
0.000 0.000 0.000 Zr
0.000 3.489 3.489 Zr
1.744 1.744 1.744 Zr
1.744 5.233 5.233 Zr
3.489 0.000 3.489 Zr
3.489 3.489 0.000 Zr
5.233 1.744 5.233 Zr
5.233 5.233 1.744 Zr
1.744 1.744 5.233 Al
1.744 5.233 1.744 Al
5.233 1.744 1.744 Al
5.233 5.233 5.233 Al
0.000 0.000 3.489 Hg
0.000 3.489 0.000 Hg
3.489 0.000 0.000 Hg
3.489 3.489 3.489 Hg
```

Calculated values
* total moment: 8.96 μB per cell
* density of states at the Fermi level: 21.3 states/eV/cell
* energy of formation from the pure elements: 0.20 eV/atom

Record 9
This record from Alexandria via LeMat-Bulk describes ZrAl3Hg after structural relaxation. The functional is PBE.

```
ZrAl3Hg
1.0
4.931 0.000 0.000
0.000 4.931 0.000
0.000 0.000 4.931
Zr Al Hg
1 3 1
Cartesian
0.000 0.000 0.000 Zr
0.000 2.466 2.466 Al
2.466 0.000 2.466 Al
2.466 2.466 0.000 Al
2.466 2.466 2.466 Hg
```

Calculated values
* total moment: 0.00 μB per cell
* density of states at the Fermi level: 4.5 states/eV/cell
* energy above the lowest structure with this stoichiometry: 0 meV/atom
* energy of formation from the pure elements: 0.81 eV/atom

Record 10
This record from Alexandria via LeMat-Bulk describes Zr2AlHg2 after structural relaxation. The functional is PBE.

```
Zr2AlHg2
1.0
7.015 0.000 0.000
0.000 7.015 0.000
0.000 0.000 4.373
Zr Al Hg
4 2 4
Cartesian
1.163 2.345 0.000 Zr
2.345 5.852 0.000 Zr
4.671 1.163 0.000 Zr
5.852 4.671 0.000 Zr
0.000 0.000 2.187 Al
3.508 3.508 2.187 Al
0.994 4.501 2.187 Hg
2.514 0.994 2.187 Hg
4.501 6.022 2.187 Hg
6.022 2.514 2.187 Hg
```

Calculated values
* total moment: 0.00 μB per cell
* density of states at the Fermi level: 8.7 states/eV/cell
* energy above the lowest structure with this stoichiometry: 143 meV/atom
* energy of formation from the pure elements: -0.09 eV/atom

Record 11
This record from Alexandria via LeMat-Bulk describes Zr2AlHg after structural relaxation. The functional is PBE.

```
Zr2AlHg
1.0
7.837 0.000 0.000
0.000 7.837 0.000
0.000 0.000 5.754
Zr Al Hg
8 4 4
Cartesian
1.932 1.959 0.719 Zr
1.959 5.850 2.158 Zr
1.959 5.904 5.035 Zr
1.986 1.959 3.596 Zr
5.850 5.877 3.596 Zr
5.877 1.932 5.035 Zr
5.877 1.986 2.158 Zr
5.904 5.877 0.719 Zr
0.000 0.000 0.000 Al
0.000 3.918 1.439 Al
3.918 0.000 4.316 Al
3.918 3.918 2.877 Al
0.000 0.000 2.877 Hg
0.000 3.918 4.316 Hg
3.918 0.000 1.439 Hg
3.918 3.918 0.000 Hg
```

Calculated values
* total moment: 0.00 μB per cell
* density of states at the Fermi level: 12.4 states/eV/cell
* energy of formation from the pure elements: 0.08 eV/atom

Record 12
This record from Alexandria via LeMat-Bulk describes Zr2AlHg after structural relaxation. The functional is PBE.

```
Zr2AlHg
1.0
3.146 0.000 0.000
0.000 4.269 0.000
0.000 0.000 6.080
Zr Al Hg
2 1 1
Cartesian
0.000 0.000 1.477 Zr
0.000 0.000 4.604 Zr
1.573 2.134 0.000 Al
1.573 2.134 3.040 Hg
```

Calculated values
* total moment: 0.00 μB per cell
* density of states at the Fermi level: 3.6 states/eV/cell
* energy of formation from the pure elements: -0.30 eV/atom

Record 13
This record from Alexandria via LeMat-Bulk describes Zr7Al2Hg2 after structural relaxation. The functional is PBE.

```
Zr7Al2Hg2
1.0
5.816 0.000 0.000
2.234 5.378 0.000
2.072 1.401 7.664
Zr Al Hg
7 2 2
Cartesian
0.000 0.000 0.000 Zr
3.199 4.068 5.550 Zr
4.040 2.661 2.673 Zr
5.112 5.353 2.055 Zr
5.010 1.425 5.609 Zr
6.082 4.118 4.991 Zr
6.922 2.711 2.114 Zr
2.852 1.956 0.013 Al
7.269 4.822 7.651 Al
2.096 1.399 4.710 Hg
8.025 5.380 2.954 Hg
```

Calculated values
* total moment: 0.00 μB per cell
* density of states at the Fermi level: 11.9 states/eV/cell
* energy of formation from the pure elements: -0.12 eV/atom

Record 14
This record from Alexandria via LeMat-Bulk describes Zr5Al4Hg after structural relaxation. The functional is PBE.

```
Zr5Al4Hg
1.0
3.631 0.000 0.000
0.000 3.631 0.000
0.000 0.000 15.169
Zr Al Hg
5 4 1
Cartesian
0.000 0.000 0.000 Zr
0.000 0.000 2.958 Zr
0.000 0.000 5.962 Zr
0.000 0.000 9.207 Zr
0.000 0.000 12.211 Zr
1.815 1.815 1.491 Al
1.815 1.815 4.420 Al
1.815 1.815 10.749 Al
1.815 1.815 13.678 Al
1.815 1.815 7.584 Hg
```

Calculated values
* total moment: 0.00 μB per cell
* density of states at the Fermi level: 8.4 states/eV/cell
* energy of formation from the pure elements: -0.29 eV/atom

Record 15
This record from Alexandria via LeMat-Bulk describes Zr3Al2Hg after structural relaxation. The functional is PBE.

```
Zr3Al2Hg
1.0
3.051 0.000 0.000
0.000 3.051 0.000
0.000 0.000 12.907
Zr Al Hg
3 2 1
Cartesian
0.000 0.000 0.000 Zr
0.000 0.000 4.098 Zr
0.000 0.000 8.810 Zr
1.526 1.526 2.083 Al
1.526 1.526 10.824 Al
1.526 1.526 6.454 Hg
```

Calculated values
* total moment: 0.00 μB per cell
* density of states at the Fermi level: 5.9 states/eV/cell
* energy of formation from the pure elements: -0.37 eV/atom

Record 16
This record from Alexandria via LeMat-Bulk describes ZrAl3Hg after structural relaxation. The functional is PBE.

```
ZrAl3Hg
1.0
5.338 0.000 0.000
0.000 5.338 0.000
0.000 0.000 5.338
Zr Al Hg
1 3 1
Cartesian
0.000 0.000 0.000 Zr
0.000 0.000 2.669 Al
0.000 2.669 0.000 Al
2.669 0.000 0.000 Al
2.669 2.669 2.669 Hg
```

Calculated values
* total moment: 0.00 μB per cell
* density of states at the Fermi level: 5.9 states/eV/cell
* energy above the lowest structure with this stoichiometry: 107 meV/atom
* energy of formation from the pure elements: 0.92 eV/atom

Record 17
This record from Alexandria via LeMat-Bulk describes Zr2AlHg after structural relaxation. The functional is PBE.

```
Zr2AlHg
1.0
3.132 0.000 0.000
0.000 5.037 0.000
-0.083 0.000 5.219
Zr Al Hg
2 1 1
Cartesian
0.000 0.000 0.000 Zr
0.069 2.518 3.298 Zr
1.624 2.518 0.633 Al
1.570 0.000 2.541 Hg
```

Calculated values
* total moment: 0.00 μB per cell
* density of states at the Fermi level: 2.5 states/eV/cell
* energy of formation from the pure elements: -0.24 eV/atom

Record 18
This record from Alexandria via LeMat-Bulk describes Zr2AlHg after structural relaxation. The functional is PBE.

```
Zr2AlHg
1.0
3.162 0.000 0.000
0.000 3.162 0.000
0.000 0.000 8.368
Zr Al Hg
2 1 1
Cartesian
0.000 0.000 0.000 Zr
1.581 1.581 2.340 Zr
0.000 0.000 4.276 Al
1.581 1.581 6.163 Hg
```

Calculated values
* total moment: 0.00 μB per cell
* density of states at the Fermi level: 2.0 states/eV/cell
* energy of formation from the pure elements: -0.14 eV/atom

Record 19
This record from Alexandria via LeMat-Bulk describes Zr2AlHg after structural relaxation. The functional is PBE.

```
Zr2AlHg
1.0
6.930 0.000 0.000
0.000 6.930 0.000
0.000 0.000 6.930
Zr Al Hg
8 4 4
Cartesian
1.733 1.733 1.733 Zr
1.733 1.733 5.198 Zr
1.733 5.198 1.733 Zr
1.733 5.198 5.198 Zr
5.198 1.733 1.733 Zr
5.198 1.733 5.198 Zr
5.198 5.198 1.733 Zr
5.198 5.198 5.198 Zr
0.000 0.000 0.000 Al
0.000 3.465 3.465 Al
3.465 0.000 3.465 Al
3.465 3.465 0.000 Al
0.000 0.000 3.465 Hg
0.000 3.465 0.000 Hg
3.465 0.000 0.000 Hg
3.465 3.465 3.465 Hg
```

Calculated values
* total moment: 0.00 μB per cell
* density of states at the Fermi level: 21.2 states/eV/cell
* energy of formation from the pure elements: -0.20 eV/atom

Record 20
This record from Alexandria via LeMat-Bulk describes Zr2AlHg2 after structural relaxation. The functional is PBE.

```
Zr2AlHg2
1.0
7.415 0.000 0.000
0.000 7.415 0.000
0.000 0.000 4.172
Zr Al Hg
4 2 4
Cartesian
1.121 2.587 0.000 Zr
2.587 6.295 0.000 Zr
4.828 1.121 0.000 Zr
6.295 4.828 0.000 Zr
0.000 0.000 0.000 Al
3.708 3.708 0.000 Al
1.126 4.834 2.086 Hg
2.582 1.126 2.086 Hg
4.834 6.289 2.086 Hg
6.289 2.582 2.086 Hg
```

Calculated values
* total moment: 1.49 μB per cell
* density of states at the Fermi level: 7.7 states/eV/cell
* energy above the lowest structure with this stoichiometry: 305 meV/atom
* energy of formation from the pure elements: 0.07 eV/atom